Entry 1:
# ThNpB (PBE, optimized geometry)
data_ThNpB
_space_group_name_H-M_alt 'F -4 3 m'
_space_group_IT_number 216
_space_group_name_Hall 'F -4 2 3'
_cell_length_a 6.286
_cell_length_b 6.286
_cell_length_c 6.286
_cell_angle_alpha 90.00
_cell_angle_beta 90.00
_cell_angle_gamma 90.00
loop_
_atom_site_label
_atom_site_fract_x
_atom_site_fract_y
_atom_site_fract_z
Th1 0.000 0.000 0.000
Np1 0.000 0.000 0.500
B1 0.250 0.250 0.750
# * calculated total energy: -8.604 eV per atom
# * total moment: 3.816 μB per formula unit

***

Entry 2:
# NpUB (PBE, optimized geometry)
data_NpUB
_space_group_name_H-M_alt 'F -4 3 m'
_space_group_IT_number 216
_space_group_name_Hall 'F -4 2 3'
_cell_length_a 5.879
_cell_length_b 5.879
_cell_length_c 5.879
_cell_angle_alpha 90.00
_cell_angle_beta 90.00
_cell_angle_gamma 90.00
loop_
_atom_site_label
_atom_site_fract_x
_atom_site_fract_y
_atom_site_fract_z
Np1 0.000 0.000 0.000
U1 0.000 0.000 0.500
B1 0.250 0.250 0.250
# * calculated total energy: -9.926 eV per atom
# * total moment: 3.601 μB per formula unit
# * energy relative to the lowest polymorph listed for this composition: 0.0 meV/atom

***

Entry 3:
# YNpB (PBE, optimized geometry)
data_YNpB
_space_group_name_H-M_alt 'F -4 3 m'
_space_group_IT_number 216
_space_group_name_Hall 'F -4 2 3'
_cell_length_a 6.286
_cell_length_b 6.286
_cell_length_c 6.286
_cell_angle_alpha 90.00
_cell_angle_beta 90.00
_cell_angle_gamma 90.00
loop_
_atom_site_label
_atom_site_fract_x
_atom_site_fract_y
_atom_site_fract_z
Y1 0.000 0.000 0.000
Np1 0.000 0.000 0.500
B1 0.250 0.250 0.750
# * calculated total energy: -8.180 eV per atom
# * total moment: 4.564 μB per formula unit
# * energy relative to the lowest polymorph listed for this composition: 0.0 meV/atom

***

Entry 4:
# B2Os2O5 (PBE, optimized geometry)
data_B2Os2O5
_space_group_name_H-M_alt 'P 4/m m m'
_space_group_IT_number 123
_space_group_name_Hall '-P 4 2'
_cell_length_a 3.807
_cell_length_b 3.807
_cell_length_c 6.950
_cell_angle_alpha 90.00
_cell_angle_beta 90.00
_cell_angle_gamma 90.00
loop_
_atom_site_label
_atom_site_fract_x
_atom_site_fract_y
_atom_site_fract_z
B1 0.000 0.000 0.000
B2 0.000 0.000 0.500
Os1 0.500 0.500 0.199
O1 0.000 0.500 0.201
O2 0.500 0.500 0.500
# * calculated total energy: -6.248 eV per atom
# * total moment: 0.007 μB per formula unit
# * energy relative to the lowest polymorph listed for this composition: 367.4 meV/atom

***

Entry 5:
# B2Os2O5 (PBE, optimized geometry)
data_B2Os2O5
_space_group_name_H-M_alt 'P 4/m m m'
_space_group_IT_number 123
_space_group_name_Hall '-P 4 2'
_cell_length_a 3.292
_cell_length_b 3.292
_cell_length_c 7.026
_cell_angle_alpha 90.00
_cell_angle_beta 90.00
_cell_angle_gamma 90.00
loop_
_atom_site_label
_atom_site_fract_x
_atom_site_fract_y
_atom_site_fract_z
B1 0.000 0.000 0.219
Os1 0.500 0.500 0.000
Os2 0.500 0.500 0.500
O1 0.000 0.000 0.000
O2 0.000 0.500 0.315
# * calculated total energy: -6.615 eV per atom
# * total moment: 1.336 μB per formula unit
# * energy relative to the lowest polymorph listed for this composition: 0.0 meV/atom

***

Entry 6:
# SmB2OsO6 (PBE, optimized geometry)
data_SmB2OsO6
_space_group_name_H-M_alt 'R -3'
_space_group_IT_number 148
_space_group_name_Hall '-R 3'
_cell_length_a 4.9070
_cell_length_b 4.9070
_cell_length_c 15.7217
_cell_angle_alpha 90.00
_cell_angle_beta 90.00
_cell_angle_gamma 120.00
loop_
_atom_site_label
_atom_site_fract_x
_atom_site_fract_y
_atom_site_fract_z
Sm1 0.0000 0.0000 0.0000
B1 0.0000 0.0000 0.2394
Os1 0.0000 0.0000 0.5000
O1 0.0236 0.7313 0.2426
# * calculated total energy: -8.029 eV per atom
# * total moment: 1.000 μB per formula unit